## LaMg16Al12 (PBE)

Data for LaMg16Al12 after structural relaxation.

The structure in POSCAR format:
```
LaMg16Al12
1.0
1.727 4.038 -8.142
-2.507 -8.808 -1.309
-6.709 4.571 4.436
La Mg Al
1 16 12
Cartesian
-4.693 -0.125 -3.143 La
-2.314 1.273 -4.656 Mg
-0.047 -0.001 -0.032 Mg
0.572 1.383 -2.802 Mg
-5.825 -1.759 -0.165 Mg
-1.887 0.121 -7.544 Mg
-6.438 4.267 -0.912 Mg
-3.729 -3.020 -2.373 Mg
-0.878 -3.018 -0.461 Mg
-6.033 -4.770 -1.158 Mg
-2.436 -1.973 -5.218 Mg
-4.124 3.402 -2.910 Mg
-7.684 0.487 1.099 Mg
-2.318 1.565 1.507 Mg
-5.133 1.450 -0.453 Mg
-3.551 -4.927 -4.859 Mg
-3.123 4.058 -5.854 Mg
-0.307 2.540 -6.139 Al
-3.084 -0.817 -0.353 Al
-6.305 -4.263 1.723 Al
-1.531 -0.915 -2.668 Al
-4.384 6.264 -1.565 Al
-5.690 2.879 1.887 Al
-2.868 6.168 -3.826 Al
-0.211 -2.290 -7.457 Al
-3.009 -5.658 -1.778 Al
-0.972 -4.600 -6.229 Al
-2.304 1.548 -1.611 Al
-7.061 -1.858 2.756 Al
```

- E above lowest polymorph (meV per atom) = 4
- energy of formation (eV per formula unit) = -2.0

---

## BaGdHgAu (PBE)

Data for BaGdHgAu after structural relaxation.

The structure in POSCAR format:
```
BaGdHgAu
1.0
5.524 0.000 0.000
2.762 4.784 0.000
2.762 1.595 4.510
Gd Au Hg Ba
1 1 1 1
Cartesian
8.286 4.784 3.383 Gd
0.000 0.000 0.000 Au
5.524 3.189 2.255 Hg
2.762 1.595 1.128 Ba
```

- energy of formation (eV per formula unit) = -1.9

---

## CaLa12Dy7 (PBE)

Data for CaLa12Dy7 after structural relaxation.

The structure in POSCAR format:
```
CaLa12Dy7
1.0
9.569 0.000 -3.383
-4.784 8.287 -3.383
0.000 0.000 10.149
Ca La Dy
1 12 7
Cartesian
0.000 0.000 0.000 Ca
1.244 5.858 3.854 La
5.521 5.858 -3.271 La
3.541 2.428 -0.471 La
-0.737 2.428 6.654 La
7.097 0.576 0.112 La
5.117 4.006 2.912 La
-2.313 7.710 3.271 La
-0.333 4.280 0.471 La
3.050 6.435 -0.112 La
1.735 1.852 3.495 La
5.695 1.852 6.295 La
-0.911 6.435 -2.912 La
2.392 4.143 -3.383 Dy
-2.392 4.143 3.383 Dy
4.784 0.000 3.383 Dy
2.392 4.143 1.692 Dy
0.000 0.000 5.075 Dy
4.784 0.000 -1.692 Dy
-2.392 4.143 -1.692 Dy
```

- energy of formation (eV per formula unit) = 11.6

---

## Pm4SnSe3 (PBE)

Data for Pm4SnSe3 after structural relaxation.

The structure in POSCAR format:
```
Pm4SnSe3
1.0
4.291 0.000 0.000
0.000 7.419 -0.082
0.000 -2.417 7.014
Pm Sn Se
4 1 3
Cartesian
0.000 1.285 1.781 Pm
2.145 4.938 1.708 Pm
0.000 3.717 5.151 Pm
2.145 0.064 5.224 Pm
2.145 0.000 0.000 Sn
0.000 -1.209 3.507 Se
2.145 2.501 3.466 Se
0.000 3.709 -0.041 Se
```

- E above lowest polymorph (meV per atom) = 17
- formation energy without anion corrections (eV/atom) = -1.573

---

## Na8GaS6 (PBE)

Data for Na8GaS6 after structural relaxation.

The structure in POSCAR format:
```
Na8GaS6
1.0
8.140 0.000 0.000
0.000 7.628 0.000
0.000 0.000 11.849
Na Ga S
16 2 12
Cartesian
2.971 0.000 11.319 Na
5.169 3.814 5.395 Na
7.565 6.056 1.958 Na
0.575 5.386 7.882 Na
0.575 2.242 7.882 Na
7.565 1.572 1.958 Na
3.613 5.488 8.129 Na
4.527 5.955 2.205 Na
4.527 1.674 2.205 Na
3.613 2.140 8.129 Na
6.389 5.986 9.999 Na
1.751 5.457 4.075 Na
1.751 2.172 4.075 Na
6.389 1.643 9.999 Na
2.135 0.000 6.121 Na
6.005 3.814 0.197 Na
6.135 0.000 5.534 Ga
2.005 3.814 11.458 Ga
5.828 0.000 0.285 S
2.312 3.814 6.210 S
1.979 0.000 8.749 S
6.161 3.814 2.825 S
8.083 0.000 4.308 S
0.057 3.814 10.232 S
4.167 0.000 4.363 S
3.973 3.814 10.287 S
2.002 5.457 1.259 S
6.138 5.985 7.183 S
6.138 1.643 7.183 S
2.002 2.171 1.259 S
```

- formation energy without anion corrections (eV/atom) = -0.885

---

## Tb4Dy3Tl (PBE)

Data for Tb4Dy3Tl after structural relaxation.

The structure in POSCAR format:
```
Tb4Dy3Tl
1.0
4.120 0.000 0.000
0.000 4.120 0.000
0.000 0.000 14.481
Tl Tb Dy
1 4 3
Cartesian
2.060 2.060 0.000 Tl
0.000 0.000 12.830 Tb
0.000 0.000 1.652 Tb
0.000 0.000 5.366 Tb
0.000 0.000 9.115 Tb
2.060 2.060 3.592 Dy
2.060 2.060 7.241 Dy
2.060 2.060 10.890 Dy
```

- E above lowest polymorph (meV per atom) = 86
- energy of formation (eV per formula unit) = 0.1

---

## Ca2CrHg (PBE)

Data for Ca2CrHg after structural relaxation.

The structure in POSCAR format:
```
Ca2CrHg
1.0
-6.273 -0.903 -0.160
-4.054 -2.401 -4.241
-3.770 -5.093 -0.179
Cr Ca Hg
1 2 1
Cartesian
-6.435 -3.833 -2.091 Cr
-0.354 -0.211 -0.115 Ca
-3.161 -1.883 -1.027 Ca
-11.195 -6.669 -3.637 Hg
```

- energy of formation (eV per formula unit) = 0.6

---

## La2NdBr (PBE)

Data for La2NdBr after structural relaxation.

The structure in POSCAR format:
```
La2NdBr
1.0
-0.263 3.363 -1.448
1.418 -1.245 -3.149
-9.030 -2.100 -3.235
Nd Br La
1 1 2
Cartesian
-3.938 0.009 -3.916 Nd
0.577 1.059 -2.299 Br
-6.910 -1.607 -2.475 La
-2.120 -0.493 -0.760 La
```

- E above lowest polymorph (meV per atom) = 85
- formation energy without anion corrections (eV/atom) = -0.509

---

## Ti2NbCo3 (PBE)

Data for Ti2NbCo3 after structural relaxation.

The structure in POSCAR format:
```
Ti2NbCo3
1.0
-2.057 3.281 5.953
2.057 -3.281 5.953
2.057 3.281 -5.953
Ti Nb Co
4 2 6
Cartesian
0.000 4.922 1.890 Ti
2.057 1.641 0.242 Ti
2.057 -1.641 4.062 Ti
0.000 1.641 5.711 Ti
2.057 1.641 3.832 Nb
0.000 1.641 2.121 Nb
0.000 0.258 7.915 Co
0.000 3.540 3.991 Co
0.000 0.000 0.000 Co
2.057 3.023 -1.962 Co
0.000 3.281 0.000 Co
2.057 -0.258 1.962 Co
```

- energy of formation (eV per formula unit) = -1.9

---

## LiTbScRu (PBE)

Data for LiTbScRu after structural relaxation.

The structure in POSCAR format:
```
LiTbScRu
1.0
-0.972 -4.226 2.008
1.725 -1.039 4.334
-2.950 -0.241 3.751
Sc Ru Tb Li
1 1 1 1
Cartesian
-1.099 -2.753 5.047 Sc
-1.648 -4.129 7.570 Ru
0.000 0.000 0.000 Tb
-0.549 -1.376 2.523 Li
```

- energy of formation (eV per formula unit) = -1.2

---

## TmMgZr2Ir4 (PBE)

Data for TmMgZr2Ir4 after structural relaxation.

The structure in POSCAR format:
```
TmMgZr2Ir4
1.0
-2.511 2.958 2.557
-4.005 1.678 -1.653
-5.908 -4.313 3.408
Tm Mg Zr Ir
1 1 2 4
Cartesian
0.000 0.000 0.000 Tm
-6.212 0.162 2.156 Mg
-9.269 0.320 3.193 Zr
-3.156 0.003 1.119 Zr
-7.603 -2.019 3.313 Ir
-7.915 2.442 2.068 Ir
-4.509 -2.119 2.245 Ir
-4.821 2.342 1.000 Ir
```

- energy of formation (eV per formula unit) = -6.2

---

## Sm3DyEr6Tm2 (PBE)

Data for Sm3DyEr6Tm2 after structural relaxation.

The structure in POSCAR format:
```
Sm3DyEr6Tm2
1.0
-4.242 -4.045 -1.778
2.448 -0.398 5.601
-7.680 8.351 2.836
Sm Dy Er Tm
3 1 6 2
Cartesian
-2.508 3.169 5.788 Sm
-6.966 0.739 0.871 Sm
-4.737 1.954 3.329 Sm
0.000 0.000 0.000 Dy
-8.247 2.345 3.776 Er
-3.239 -1.265 3.562 Er
-1.227 1.563 2.883 Er
-6.015 3.562 6.237 Er
-6.235 5.174 3.097 Er
-3.459 0.347 0.422 Er
0.219 -1.614 3.141 Tm
-2.012 -2.830 0.681 Tm
```

- energy of formation (eV per formula unit) = 0.3